{"formula": "KIn2Ag2", "functional": "meta-GGA SCAN", "state": "PBEsol geometry", "sg": "I4/mmm (139)", "delta_e_f_mev_per_atom": -89.7, "lattice": [[-1.533, 4.773, -0.331], [-4.658, -1.410, 1.248], [4.224, -0.971, 4.559]], "species": ["K", "Ag", "Ag", "In", "In"], "fractional_positions": [[0.000, 0.000, 0.000], [0.250, 0.750, 0.500], [0.750, 0.250, 0.500], [0.641, 0.641, 0.282], [0.359, 0.359, 0.718]]}

=====

{"formula": "LaInAg4", "functional": "meta-GGA SCAN", "state": "PBEsol geometry", "sg": "F-43m (216)", "delta_e_f_mev_per_atom": -301.3, "lattice": [[-5.411, -0.734, -1.048], [-1.760, -0.607, -5.240], [-1.846, -4.942, -1.758]], "species": ["Ag", "Ag", "Ag", "Ag", "In", "La"], "fractional_positions": [[0.874, 0.375, 0.375], [0.375, 0.874, 0.375], [0.375, 0.375, 0.874], [0.375, 0.375, 0.375], [0.750, 0.750, 0.750], [0.000, 0.000, 0.000]]}

=====

{"formula": "La2InAg", "functional": "meta-GGA SCAN", "state": "PBEsol geometry", "sg": "Imm2 (44)", "delta_e_f_mev_per_atom": -436.7, "lattice": [[3.829, 0.000, 0.000], [0.000, 5.190, 0.000], [-1.915, -2.595, 5.439]], "species": ["Ag", "In", "La", "La"], "fractional_positions": [[0.521, 0.521, 0.041], [0.212, 0.712, 0.424], [0.775, 0.275, 0.550], [0.992, 0.992, 0.985]]}

=====

{"formula": "La2InAg", "functional": "meta-GGA SCAN", "state": "PBEsol geometry", "sg": "P4/mmm (123)", "delta_e_f_mev_per_atom": -493.0, "lattice": [[3.721, 0.000, 0.000], [0.000, 3.721, 0.000], [0.000, 0.000, 8.015]], "species": ["Ag", "La", "La", "In"], "fractional_positions": [[0.500, 0.500, 0.000], [0.000, 0.000, 0.760], [0.000, 0.000, 0.240], [0.500, 0.500, 0.500]]}

=====

{"formula": "La2InAg", "functional": "meta-GGA SCAN", "state": "PBEsol geometry", "sg": "Pmm2 (25)", "delta_e_f_mev_per_atom": -476.2, "lattice": [[-1.514, 3.311, -0.716], [-3.734, -0.987, 3.330], [3.061, 2.289, 4.111]], "species": ["La", "La", "Ag", "In"], "fractional_positions": [[0.000, 0.000, 0.059], [0.000, 0.500, 0.693], [0.500, 0.000, 0.535], [0.500, 0.500, 0.213]]}

=====

{"formula": "La2InAg2", "functional": "meta-GGA SCAN", "state": "PBEsol geometry", "sg": "I4/mmm (139)", "delta_e_f_mev_per_atom": -247.1, "lattice": [[-2.992, -4.954, -0.521], [5.528, 0.190, -1.780], [1.519, 1.866, 5.289]], "species": ["La", "La", "Ag", "Ag", "In"], "fractional_positions": [[0.500, 0.750, 0.250], [0.500, 0.250, 0.750], [0.000, 0.346, 0.346], [0.000, 0.654, 0.654], [0.000, 0.000, 0.000]]}

=====

Q: Which formula does entry 1 have?
A: KIn2Ag2